Crystalline LiFe2Re at its relaxed geometry. Source: the Alexandria database, functional PBE.

Values from the calculation:
SG = No. 225
final energy = -7.68 eV per atom
energy relative to the lowest polymorph listed for this composition = 0.00 eV per formula unit
ΔE_f = 14 kJ per mole of atoms
density = 10.94 g cm⁻³

Unit cell a=4.030 b=4.030 c=4.030 alpha=60.00 beta=60.00 gamma=60.00
Positions (direct):
Li1 0.000 0.000 0.000
Fe1 0.250 0.250 0.250
Fe2 0.750 0.750 0.750
Re1 0.500 0.500 0.500